Model w:
The following is a DFT calculation (meta-GGA SCAN) of a PBEsol-optimized structure of Ta4Mo3.

Cell: 9.6683 4.5172 5.3050 Å, 90.00 94.59 90.00°
Last column: nearest neighbours and their distance in Å.
Space group C2/m (No. 12)
One atom of each set of equivalent atoms:
Ta (0.0663, 0.0000, 0.2740) x4  4 Mo 2.73-2.79, 4 Ta 2.81-2.84
Ta (0.1445, 0.5000, 0.5764) x4  4 Mo 2.74-2.77, 4 Ta 2.84-2.85
Mo (0.0000, 0.5000, 0.0000) x2  6 Ta 2.73-2.74, 2 Mo 2.76
Mo (0.2187, 0.0000, 0.8588) x4  5 Ta 2.75-2.79, 3 Mo 2.75-2.76

Calculated values
- Calculated volume: 16.496 A^3/atom

***

Model x:
The following is a DFT calculation (meta-GGA SCAN) of a PBEsol-optimized structure of Ta4Mo3.

Cell: 3.1936 4.6321 31.2199 Å, 90.00 90.00 90.00°
Last column: nearest neighbours and their distance in Å.
Space group Fmmm (No. 69)
One atom of each set of equivalent atoms:
Ta (0.0000, 0.0000, 0.0709) x8  4 Mo 2.73, 4 Ta 2.81
Ta (0.0000, 0.0000, 0.2122) x8  2 Mo 2.72, 6 Ta 2.81-2.85
Mo (0.0000, 0.0000, 0.3582) x8  4 Ta 2.72-2.73, 4 Mo 2.81
Mo (0.0000, 0.0000, 0.5000) x4  4 Ta 2.73, 4 Mo 2.81

Calculated values
- Calculated volume: 16.494 A^3/atom

***

Energies in meV/atom, measured from the most stable structure: model w 0; model x 41.

***

Model w:
The following is a DFT calculation (meta-GGA SCAN) of a PBEsol-optimized structure of CdIn2Br.

Cell: 3.5435 3.5435 28.7713 Å, 90.00 90.00 120.00°
Last column: nearest neighbours and their distance in Å.
Space group R-3m (No. 166, hexagonal axes)
One atom of each set of equivalent atoms:
Cd (0.0000, 0.0000, 0.0000) x3  6 In 3.20, 6 Cd 3.54
In (0.0000, 0.0000, 0.2478) x6  3 Br 3.10, 3 Cd 3.20
Br (0.0000, 0.0000, 0.5000) x3  6 In 3.10

Calculated values
- Calculated volume: 26.072 A^3/atom

***

Model x:
The following is a DFT calculation (meta-GGA SCAN) of a PBEsol-optimized structure of CdIn2Br.

Cell: 3.5838 5.3177 10.7609 Å, 90.00 90.00 90.00°
Last column: nearest neighbours and their distance in Å.
Space group Imm2 (No. 44)
One atom of each set of equivalent atoms:
Cd (0.0000, 0.0000, 0.0000) x2  6 In 3.10-3.21, 2 Br 3.18
In (0.0000, 0.0000, 0.4912) x2  4 Cd 3.21, 4 In 3.29-3.58, 2 Br 3.36
In (0.0000, 0.5000, 0.7353) x2  2 Cd 3.10, 4 Br 3.21, 2 In 3.29
Br (0.0000, 0.5000, 0.2559) x2  2 Cd 3.18, 6 In 3.21-3.36

Calculated values
- Calculated volume: 25.635 A^3/atom

***

Energies in meV/atom, measured from the most stable structure: model w 11; model x 0.

***

Model w:
The following is a DFT calculation (meta-GGA SCAN) of a PBEsol-optimized structure of Eu3NbO7.

Cell: 10.7275 7.3064 7.6371 Å, 90.00 90.00 90.00°
Last column: nearest neighbours and their distance in Å.
Space group Cmcm (No. 63)
One atom of each set of equivalent atoms:
Eu (0.0000, 0.0000, 0.0000) x4  8 O 2.38-2.63
Eu (0.2300, 0.2907, 0.2500) x8  6 O 2.22-2.44
Nb (0.0000, 0.5000, 0.0000) x4  6 O 1.98-2.00
O (0.0000, 0.4267, 0.2500) x4  2 Nb 1.98
O (0.1282, 0.3051, 0.5351) x16  1 Nb 2.00
O (0.1310, 0.0233, 0.2500) x8  4 Eu 2.22-2.38

Calculated values
- Calculated volume: 13.604 A^3/atom

***

Model x:
The following is a DFT calculation (meta-GGA SCAN) of a PBEsol-optimized structure of Eu3NbO7.

Cell: 7.4136 10.6602 7.6379 Å, 90.00 90.00 90.00°
Last column: nearest neighbours and their distance in Å.
Space group Cmcm (No. 63)
One atom of each set of equivalent atoms:
Eu (0.0000, 0.0000, 0.0000) x4  8 O 2.35-2.60
Eu (0.2348, 0.2675, 0.2500) x8  6 O 2.23-2.45
Nb (0.0000, 0.5000, 0.0000) x4  6 O 1.99-2.02
O (0.0000, 0.1284, 0.7500) x4  4 Eu 2.26-2.35
O (0.0000, 0.1362, 0.2500) x4  4 Eu 2.23-2.40
O (0.0000, 0.4384, 0.2500) x4  2 Nb 2.02
O (0.1990, 0.3761, 0.5306) x16  1 Nb 1.99

Calculated values
- Calculated volume: 13.719 A^3/atom

***

Energies in meV/atom, measured from the most stable structure: model w 16; model x 0.